A geometry-optimized ZrSbMo structure. Source: Alexandria via LeMat-Bulk, functional PBEsol.

DOS(E_F) = 0.6292 states/eV per atom
size of the total moment = 0.00 μB per formula unit
E = -8.527 eV per atom
volume = 19.311 A^3/atom
E_form (uncorrected) = -0.06 eV/atom

```
3
Lattice="4.7518 0.0000 0.0000 -2.3759 4.1152 0.0000 0.0000 0.0000 2.9627" Properties=species:S:1:pos:R:3 pbc="T T T"
Zr 0.0000 0.0000 0.0000
Sb 0.0000 2.7434 1.3757
Mo 2.3759 1.3717 1.2599
```


A geometry-optimized ZrSb2Mo structure. Source: Alexandria via LeMat-Bulk, functional PBEsol.

DOS(E_F) = 0.9806 states/eV per atom
size of the total moment = 0.00 μB per formula unit
E = -7.433 eV per atom
volume = 20.433 A^3/atom
energy relative to the lowest polymorph listed for this composition = 40 meV per atom
E_form (uncorrected) = 0.06 eV/atom

```
4
Lattice="-1.7968 2.6015 4.3714 1.7968 -2.6015 4.3714 1.7968 2.6015 -4.3714" Properties=species:S:1:pos:R:3 pbc="T T T"
Zr 0.0000 0.0000 0.0000
Sb 1.7968 0.0000 2.3159
Sb 0.0000 2.6015 2.0555
Mo 0.0000 0.0000 4.3714
```


A geometry-optimized ScMo2 structure. Source: Alexandria via LeMat-Bulk, functional PBEsol.

DOS(E_F) = 1.1266 states/eV per atom
size of the total moment = 0.00 μB per formula unit
E = -10.013 eV per atom
volume = 16.925 A^3/atom
energy of formation from the pure elements = 3 kJ per mole of atoms

```
3
Lattice="-1.5867 1.5867 5.0417 1.5867 -1.5867 5.0417 1.5867 1.5867 -5.0417" Properties=species:S:1:pos:R:3 pbc="T T T"
Sc 0.0000 0.0000 0.0000
Mo 0.0000 0.0000 3.1829
Mo 0.0000 0.0000 6.9004
```


A geometry-optimized Sc3Mo structure. Source: Alexandria via LeMat-Bulk, functional PBEsol.

DOS(E_F) = 0.7187 states/eV per atom
size of the total moment = 0.00 μB per formula unit
E = -7.774 eV per atom
volume = 19.902 A^3/atom
energy relative to the lowest polymorph listed for this composition = 26 meV per atom
energy of formation from the pure elements = 12 kJ per mole of atoms

```
8
Lattice="6.1436 0.0000 0.0000 -3.0718 5.3205 0.0000 0.0000 0.0000 4.8710" Properties=species:S:1:pos:R:3 pbc="T T T"
Sc 0.0000 1.8103 1.2177
Sc -1.5040 4.4154 1.2177
Sc 1.5678 0.9052 3.6532
Sc 1.5040 4.4154 1.2177
Sc 4.5758 0.9052 3.6532
Sc 3.0718 3.5102 3.6532
Mo 0.0000 3.5470 3.6532
Mo 3.0718 1.7735 1.2177
```